(1)
# InS5Cl, relaxed, DFT PBE-GGA
# Formation energy without anion corrections in eV/atom: -0.180
# Space group: C2 (5)
# VASP energy in eV per atom: -3.783
# Density in g/cm³: 2.30
data_InS5Cl
_space_group_name_H-M_alt 'P 1'
_space_group_IT_number 1
_space_group_name_Hall 'P 1'
_cell_length_a 10.6158
_cell_length_b 10.6158
_cell_length_c 4.5756
_cell_angle_alpha 95.95
_cell_angle_beta 95.95
_cell_angle_gamma 151.36
loop_
_atom_site_label
_atom_site_fract_x
_atom_site_fract_y
_atom_site_fract_z
In1 0.0000 0.0000 0.0000
S1 0.3883 0.5111 0.2591
S2 0.4889 0.6117 0.7409
S3 0.5501 0.1486 0.2605
S4 0.7604 0.2396 0.0000
S5 0.8514 0.4499 0.7395
Cl1 0.0632 0.9368 0.5000


(2)
# Ho5SnRu3, relaxed, DFT PBE-GGA
# N(E_F) in states/eV per cell: 8.54
# Energy of formation in eV per atom: -0.216
# Space group: C2/m (12)
# VASP energy in eV per atom: -6.296
# Density in g/cm³: 8.52
data_Ho5SnRu3
_space_group_name_H-M_alt 'P 1'
_space_group_IT_number 1
_space_group_name_Hall 'P 1'
_cell_length_a 7.4860
_cell_length_b 7.4860
_cell_length_c 9.7332
_cell_angle_alpha 106.85
_cell_angle_beta 106.85
_cell_angle_gamma 72.74
loop_
_atom_site_label
_atom_site_fract_x
_atom_site_fract_y
_atom_site_fract_z
Ho1 0.0415 0.0415 0.3487
Ho2 0.1320 0.5184 0.3515
Ho3 0.2027 0.7973 0.0000
Ho4 0.2646 0.2646 0.9504
Ho5 0.4816 0.8680 0.6485
Ho6 0.5184 0.1320 0.3515
Ho7 0.7354 0.7354 0.0496
Ho8 0.7973 0.2027 0.0000
Ho9 0.8680 0.4816 0.6485
Ho10 0.9585 0.9585 0.6513
Sn1 0.4188 0.4188 0.7111
Sn2 0.5812 0.5812 0.2889
Ru1 0.1631 0.1631 0.1646
Ru2 0.1817 0.1817 0.6395
Ru3 0.5000 0.5000 0.0000
Ru4 0.5000 0.5000 0.5000
Ru5 0.8183 0.8183 0.3605
Ru6 0.8369 0.8369 0.8354